(1)
# PBE-GGA La2SbRh, optimized geometry
# **Total DFT energy (no corrections)**: -6.1401 eV per atom
# **Formation energy without anion corrections**: -0.808 eV per atom
# **V**: 212.6 Å³/cell
data_La2SbRh
_chemical_formula_sum 'La4 Sb2 Rh2'
_cell_length_a 3.984
_cell_length_b 4.625
_cell_length_c 11.538
_cell_angle_alpha 90.00
_cell_angle_beta 90.00
_cell_angle_gamma 90.00
_space_group_name_H-M_alt 'I m m 2'
_space_group_IT_number 44
_space_group_name_Hall 'I 2 -2'
loop_
_atom_site_label
_atom_site_type_symbol
_atom_site_fract_x
_atom_site_fract_y
_atom_site_fract_z
La1 La 0.000 0.000 0.000
La2 La 0.000 0.500 0.214
Sb1 Sb 0.000 0.000 0.420
Rh1 Rh 0.000 0.500 0.742



(2)
# PBE-GGA LaNdScIn, optimized geometry
# **Total DFT energy (no corrections)**: -4.8630 eV per atom
# **ΔE_f**: -172 meV per atom
# **V**: 476.8 Å³/cell
data_LaNdScIn
_chemical_formula_sum 'La4 Nd4 Sc4 In4'
_cell_length_a 7.812
_cell_length_b 7.812
_cell_length_c 7.812
_cell_angle_alpha 90.00
_cell_angle_beta 90.00
_cell_angle_gamma 90.00
_space_group_name_H-M_alt 'F -4 3 m'
_space_group_IT_number 216
_space_group_name_Hall 'F -4 2 3'
loop_
_atom_site_label
_atom_site_type_symbol
_atom_site_fract_x
_atom_site_fract_y
_atom_site_fract_z
La1 La 0.000 0.000 0.000
Nd1 Nd 0.000 0.000 0.500
Sc1 Sc 0.250 0.250 0.750
In1 In 0.250 0.250 0.250



(3)
# PBE-GGA In2TeH, optimized geometry
# **Total DFT energy (no corrections)**: -2.8819 eV per atom
# **V**: 425.3 Å³/cell
data_In2TeH
_chemical_formula_sum 'In8 Te4 H4'
_cell_length_a 6.179
_cell_length_b 6.179
_cell_length_c 11.140
_cell_angle_alpha 90.00
_cell_angle_beta 90.00
_cell_angle_gamma 90.00
_space_group_name_H-M_alt 'I -4 2 d'
_space_group_IT_number 122
_space_group_name_Hall 'I -4 2bw'
loop_
_atom_site_label
_atom_site_type_symbol
_atom_site_fract_x
_atom_site_fract_y
_atom_site_fract_z
In1 In 0.142 0.250 0.125
Te1 Te 0.000 0.000 0.500
H1 H 0.000 0.000 0.000